# 1
Crystalline CdH8C4Br2N8 at its relaxed geometry. Source: OQMD via LeMat-Bulk, functional GGA-PBE.

Computed properties:
DFT total energy = -279.232 eV/cell

Cell: 3.8331 8.3664 17.3318 Å, 90.00 100.31 90.00°
Last column: nearest neighbours and their distance in Å.
Element x y z (fractional)
Cd 0.0000 0.0000 0.0000  2 N 2.32
Cd 0.0000 0.5000 0.5000  2 N 2.32
H 0.1929 0.2084 0.6306  1 N 1.03
H 0.1929 0.2916 0.1306  1 N 1.03
H 0.2031 0.7288 0.2360  1 N 1.03
H 0.2031 0.7712 0.7360  1 N 1.03
H 0.3561 0.0405 0.5881  1 N 1.02
H 0.3561 0.4595 0.0881  1 N 1.02
H 0.3869 0.7045 0.1515  1 N 1.03
H 0.3869 0.7955 0.6515  1 N 1.03
H 0.6131 0.2045 0.3485  1 N 1.03
H 0.6131 0.2955 0.8485  1 N 1.03
H 0.6439 0.5405 0.9119  1 N 1.02
H 0.6439 0.9595 0.4119  1 N 1.02
H 0.7969 0.2288 0.2640  1 N 1.03
H 0.7969 0.2712 0.7640  1 N 1.03
H 0.8071 0.7084 0.8694  1 N 1.03
H 0.8071 0.7916 0.3694  1 N 1.03
C 0.0097 0.0061 0.1900  2 N 1.19-1.29
C 0.0097 0.4939 0.6900  2 N 1.19-1.29
C 0.1976 0.9998 0.6931  3 N 1.33-1.35
C 0.1976 0.5002 0.1931  3 N 1.33-1.35
C 0.8024 0.0002 0.3069  3 N 1.33-1.35
C 0.8024 0.4998 0.8069  3 N 1.33-1.35
C 0.9903 0.5061 0.3100  2 N 1.19-1.29
C 0.9903 0.9939 0.8100  2 N 1.19-1.29
Br 0.4839 0.2383 0.9735  1 H 2.36
Br 0.4839 0.2617 0.4735  1 H 2.36
Br 0.5161 0.7383 0.5265  1 H 2.36
Br 0.5161 0.7617 0.0265  1 H 2.36
N 0.0462 0.0705 0.7491  2 C 1.29-1.35
N 0.0462 0.4295 0.2491  2 C 1.29-1.35
N 0.0866 0.0634 0.1326  1 C 1.19
N 0.0866 0.4366 0.6326  1 C 1.19
N 0.2453 0.0881 0.6320  2 H 1.02-1.03
N 0.2453 0.4119 0.1320  2 H 1.02-1.03
N 0.3009 0.6530 0.1984  2 H 1.03
N 0.3009 0.8470 0.6984  2 H 1.03
N 0.6991 0.1530 0.3016  2 H 1.03
N 0.6991 0.3470 0.8016  2 H 1.03
N 0.7547 0.5881 0.8680  2 H 1.02-1.03
N 0.7547 0.9119 0.3680  2 H 1.02-1.03
N 0.9134 0.5634 0.3674  1 C 1.19
N 0.9134 0.9366 0.8674  1 C 1.19
N 0.9538 0.5705 0.7509  2 C 1.29-1.35
N 0.9538 0.9295 0.2509  2 C 1.29-1.35

# 2
Crystalline CdH16C4Br4N2 at its relaxed geometry. Source: OQMD via LeMat-Bulk, functional GGA-PBE.

Computed properties:
DFT total energy = -501.010 eV/cell

Cell: 8.1022 11.6807 16.5349 Å, 90.00 114.09 90.00°
Last column: nearest neighbours and their distance in Å.
Element x y z (fractional)
Cd 0.2390 0.2070 0.4526  4 Br 2.59-2.64
Cd 0.2390 0.2930 0.9526  4 Br 2.59-2.64
Cd 0.7610 0.7070 0.0474  4 Br 2.59-2.64
Cd 0.7610 0.7930 0.5474  4 Br 2.59-2.64
H 0.0242 0.6992 0.8413  1 C 1.10
H 0.0242 0.8008 0.3413  1 C 1.10
H 0.0612 0.6722 0.2922  1 C 1.10
H 0.0612 0.8278 0.7922  1 C 1.10
H 0.0813 0.1701 0.1479  1 C 1.10
H 0.0813 0.3299 0.6479  1 C 1.10
H 0.1188 0.5159 0.4524  1 C 1.10
H 0.1188 0.9841 0.9524  1 C 1.10
H 0.1786 0.7160 0.4855  1 N 1.05
H 0.1786 0.7840 0.9855  1 N 1.05
H 0.1843 0.5379 0.1172  1 C 1.09
H 0.1843 0.9621 0.6172  1 C 1.09
H 0.2519 0.5084 0.7668  1 C 1.10
H 0.2519 0.9916 0.2668  1 C 1.10
H 0.2636 0.5203 0.3943  1 C 1.10
H 0.2636 0.9797 0.8943  1 C 1.10
H 0.2827 0.0726 0.6992  1 C 1.10
H 0.2827 0.4274 0.1992  1 C 1.10
H 0.3011 0.5755 0.2319  1 C 1.10
H 0.3011 0.9245 0.7319  1 C 1.10
H 0.3134 0.7205 0.4292  1 N 1.05
H 0.3134 0.7795 0.9292  1 N 1.05
H 0.3550 0.5479 0.5115  1 C 1.10
H 0.3550 0.9521 0.0115  1 C 1.10
H 0.3561 0.0459 0.1964  1 C 1.10
H 0.3561 0.4541 0.6964  1 C 1.10
H 0.3925 0.5998 0.7349  1 C 1.09
H 0.3925 0.9002 0.2349  1 C 1.09
H 0.4602 0.0236 0.6151  1 N 1.04
H 0.4602 0.4764 0.1151  1 N 1.04
H 0.4890 0.6097 0.1542  1 N 1.05
H 0.4890 0.8903 0.6542  1 N 1.05
H 0.5110 0.1097 0.3458  1 N 1.05
H 0.5110 0.3903 0.8458  1 N 1.05
H 0.5398 0.5236 0.8849  1 N 1.04
H 0.5398 0.9764 0.3849  1 N 1.04
H 0.6075 0.0998 0.7651  1 C 1.09
H 0.6075 0.4002 0.2651  1 C 1.09
H 0.6439 0.5459 0.3036  1 C 1.10
H 0.6439 0.9541 0.8036  1 C 1.10
H 0.6450 0.0479 0.9885  1 C 1.10
H 0.6450 0.4521 0.4885  1 C 1.10
H 0.6866 0.2205 0.0708  1 N 1.05
H 0.6866 0.2795 0.5708  1 N 1.05
H 0.6989 0.0755 0.2681  1 C 1.10
H 0.6989 0.4245 0.7681  1 C 1.10
H 0.7173 0.5726 0.8008  1 C 1.10
H 0.7173 0.9274 0.3008  1 C 1.10
H 0.7364 0.0203 0.1057  1 C 1.10
H 0.7364 0.4797 0.6057  1 C 1.10
H 0.7481 0.0084 0.7332  1 C 1.10
H 0.7481 0.4916 0.2332  1 C 1.10
H 0.8157 0.0379 0.3828  1 C 1.09
H 0.8157 0.4621 0.8828  1 C 1.09
H 0.8214 0.2160 0.0145  1 N 1.05
H 0.8214 0.2840 0.5145  1 N 1.05
H 0.8812 0.0159 0.0476  1 C 1.10
H 0.8812 0.4841 0.5476  1 C 1.10
H 0.9187 0.6701 0.3521  1 C 1.10
H 0.9187 0.8299 0.8521  1 C 1.10
H 0.9388 0.1722 0.2078  1 C 1.10
H 0.9388 0.3278 0.7078  1 C 1.10
H 0.9758 0.1992 0.6587  1 C 1.10
H 0.9758 0.3008 0.1587  1 C 1.10
C 0.0392 0.7078 0.3484  3 H 1.10
C 0.0392 0.7922 0.8484  3 H 1.10
C 0.2366 0.5576 0.4485  3 H 1.10
C 0.2366 0.9424 0.9485  3 H 1.10
C 0.2960 0.5155 0.1800  3 H 1.09-1.10
C 0.2960 0.9845 0.6800  3 H 1.09-1.10
C 0.3708 0.5119 0.7512  3 H 1.09-1.10
C 0.3708 0.9881 0.2512  3 H 1.09-1.10
C 0.6292 0.0119 0.7488  3 H 1.09-1.10
C 0.6292 0.4881 0.2488  3 H 1.09-1.10
C 0.7040 0.0155 0.3200  3 H 1.09-1.10
C 0.7040 0.4845 0.8200  3 H 1.09-1.10
C 0.7634 0.0576 0.0515  3 H 1.10
C 0.7634 0.4424 0.5515  3 H 1.10
C 0.9608 0.2078 0.1516  3 H 1.10
C 0.9608 0.2922 0.6516  3 H 1.10
Br 0.0816 0.7045 0.5995  1 H 2.32, 1 Cd 2.59
Br 0.0816 0.7955 0.0995  1 H 2.32, 1 Cd 2.59
Br 0.2297 0.5170 0.9422  1 Cd 2.62, 2 H 2.74-2.80
Br 0.2297 0.9830 0.4422  1 Cd 2.62, 2 H 2.74-2.80
Br 0.3991 0.2131 0.8544  1 H 2.29
Br 0.3991 0.2869 0.3544  1 H 2.29
Br 0.4476 0.2317 0.1163  1 H 2.35
Br 0.4476 0.2683 0.6163  1 H 2.35
Br 0.5524 0.7317 0.3837  1 H 2.35
Br 0.5524 0.7683 0.8837  1 H 2.35
Br 0.6009 0.7131 0.6456  1 H 2.29
Br 0.6009 0.7869 0.1456  1 H 2.29
Br 0.7703 0.0170 0.5578  1 Cd 2.62, 2 H 2.74-2.80
Br 0.7703 0.4830 0.0578  1 Cd 2.62, 2 H 2.74-2.80
Br 0.9184 0.2045 0.9005  1 H 2.32, 1 Cd 2.59
Br 0.9184 0.2955 0.4005  1 H 2.32, 1 Cd 2.59
N 0.1990 0.6818 0.4317  2 H 1.05
N 0.1990 0.8182 0.9317  2 H 1.05
N 0.4689 0.5249 0.1693  2 H 1.04-1.05
N 0.4689 0.9751 0.6693  2 H 1.04-1.05
N 0.5311 0.0249 0.3307  2 H 1.04-1.05
N 0.5311 0.4751 0.8307  2 H 1.04-1.05
N 0.8010 0.1819 0.0683  2 H 1.05
N 0.8010 0.3182 0.5683  2 H 1.05

# 3
Crystalline Cd3H13C5Br8N at its relaxed geometry. Source: OQMD via LeMat-Bulk, functional GGA-PBE.

Computed properties:
DFT total energy = -252.800 eV/cell

Cell: 8.2385 11.1741 12.6653 Å, 100.35 103.86 105.30°
Last column: nearest neighbours and their distance in Å.
Element x y z (fractional)
Cd 0.0306 0.3424 0.4015  6 Br 2.74-2.98
Cd 0.1143 0.1373 0.1398  4 Br 2.60-2.88
Cd 0.4589 0.6545 0.6043  6 Br 2.76-2.87
Cd 0.5411 0.3455 0.3957  6 Br 2.76-2.87
Cd 0.8857 0.8627 0.8602  4 Br 2.60-2.88
Cd 0.9694 0.6576 0.5985  6 Br 2.74-2.98
H 0.1797 0.6171 0.1362  1 C 1.09
H 0.2047 0.1754 0.7603  1 C 1.10
H 0.2286 0.6924 0.0283  1 C 1.10
H 0.2353 0.0614 0.6530  1 C 1.10
H 0.2851 0.8283 0.2450  1 C 1.10
H 0.2909 0.2284 0.6526  1 C 1.10
H 0.3863 0.1086 0.9051  1 C 1.10
H 0.3986 0.8960 0.1003  1 C 1.10
H 0.4067 0.9927 0.7946  1 C 1.10
H 0.4096 0.7664 0.3464  1 C 1.10
H 0.4575 0.3252 0.9075  1 C 1.10
H 0.4798 0.9351 0.3526  1 C 1.10
H 0.4864 0.6178 0.2064  1 C 1.10
H 0.5136 0.3822 0.7936  1 C 1.10
H 0.5202 0.0649 0.6474  1 C 1.10
H 0.5425 0.6748 0.0925  1 C 1.10
H 0.5904 0.2336 0.6536  1 C 1.10
H 0.5933 0.0073 0.2054  1 C 1.10
H 0.6014 0.1040 0.8997  1 C 1.10
H 0.6137 0.8914 0.0949  1 C 1.10
H 0.7091 0.7716 0.3474  1 C 1.10
H 0.7149 0.1717 0.7550  1 C 1.10
H 0.7647 0.9386 0.3470  1 C 1.10
H 0.7714 0.3076 0.9717  1 C 1.10
H 0.7953 0.8246 0.2397  1 C 1.10
H 0.8203 0.3829 0.8638  1 C 1.09
C 0.2667 0.6326 0.0833  2 H 1.09-1.10
C 0.2863 0.1607 0.7055  3 H 1.10
C 0.4173 0.8377 0.2970  3 H 1.10
C 0.4609 0.6784 0.1492  2 H 1.10
C 0.4663 0.0905 0.8499  3 H 1.10
C 0.5337 0.9095 0.1501  3 H 1.10
C 0.5391 0.3216 0.8508  2 H 1.10
C 0.5827 0.1623 0.7030  3 H 1.10
C 0.7137 0.8393 0.2945  3 H 1.10
C 0.7333 0.3674 0.9167  2 H 1.09-1.10
Br 0.0046 0.8846 0.0984  2 Cd 2.64-2.88, 2 H 2.81-2.88
Br 0.1124 0.7458 0.8277  2 Cd 2.61-2.74, 1 H 2.72
Br 0.1653 0.4707 0.6260  3 Cd 2.75-2.98
Br 0.2138 0.4636 0.9822  1 C 1.96
Br 0.2260 0.1687 0.3945  3 Cd 2.81-3.06, 1 H 3.10
Br 0.2562 0.8102 0.5555  2 Cd 2.76, 3 H 2.92-3.09
Br 0.3367 0.5168 0.3732  2 H 2.79-2.94, 3 Cd 2.85-2.89
Br 0.4441 0.2527 0.1617  2 Cd 2.60-2.80
Br 0.5559 0.7473 0.8383  2 Cd 2.60-2.80
Br 0.6633 0.4832 0.6268  2 H 2.79-2.94, 3 Cd 2.85-2.89
Br 0.7438 0.1898 0.4445  2 Cd 2.76, 3 H 2.92-3.09
Br 0.7740 0.8313 0.6055  3 Cd 2.81-3.06, 1 H 3.10
Br 0.7862 0.5364 0.0178  1 C 1.96
Br 0.8347 0.5293 0.3740  3 Cd 2.75-2.98
Br 0.8876 0.2542 0.1723  2 Cd 2.61-2.74, 1 H 2.72
Br 0.9954 0.1154 0.9016  2 Cd 2.64-2.88, 2 H 2.81-2.88
N 0.4709 0.1837 0.7778  4 C 1.50-1.53
N 0.5291 0.8163 0.2222  4 C 1.50-1.53

# 4
Crystalline CdH14C4Br6N2 at its relaxed geometry. Source: OQMD via LeMat-Bulk, functional GGA-PBE.

Computed properties:
DFT total energy = -485.697 eV/cell

Cell: 8.4213 7.6958 23.5586 Å, 90.00 90.00 90.00°
Last column: nearest neighbours and their distance in Å.
Element x y z (fractional)
Cd 0.0000 0.0957 0.2500  4 Br 2.67-2.79
Cd 0.0000 0.9043 0.7500  4 Br 2.67-2.79
Cd 0.5000 0.4043 0.7500  4 Br 2.67-2.79
Cd 0.5000 0.5957 0.2500  4 Br 2.67-2.79
H 0.0027 0.2014 0.6059  1 C 1.10
H 0.0027 0.7986 0.1059  1 C 1.10
H 0.0422 0.4492 0.1595  1 N 1.05
H 0.0422 0.5508 0.6595  1 N 1.05
H 0.0488 0.3720 0.8121  1 N 1.04
H 0.0488 0.6280 0.3121  1 N 1.04
H 0.1118 0.3778 0.5757  1 C 1.10
H 0.1118 0.6222 0.0757  1 C 1.10
H 0.1344 0.4414 0.4302  1 C 1.10
H 0.1344 0.5586 0.9302  1 C 1.10
H 0.1491 0.3717 0.6742  1 N 1.04
H 0.1491 0.6283 0.1742  1 N 1.04
H 0.2488 0.3873 0.8980  1 C 1.10
H 0.2488 0.6127 0.3980  1 C 1.10
H 0.2512 0.1127 0.3980  1 C 1.10
H 0.2512 0.8873 0.8980  1 C 1.10
H 0.3509 0.1283 0.1742  1 N 1.04
H 0.3509 0.8717 0.6742  1 N 1.04
H 0.3656 0.0586 0.9302  1 C 1.10
H 0.3656 0.9414 0.4302  1 C 1.10
H 0.3882 0.1222 0.0757  1 C 1.10
H 0.3882 0.8778 0.5757  1 C 1.10
H 0.4512 0.1280 0.3121  1 N 1.04
H 0.4512 0.8720 0.8121  1 N 1.04
H 0.4578 0.0508 0.6595  1 N 1.05
H 0.4578 0.9492 0.1595  1 N 1.05
H 0.4973 0.2986 0.1059  1 C 1.10
H 0.4973 0.7014 0.6059  1 C 1.10
H 0.5027 0.2986 0.3941  1 C 1.10
H 0.5027 0.7014 0.8941  1 C 1.10
H 0.5422 0.0508 0.8405  1 N 1.05
H 0.5422 0.9492 0.3405  1 N 1.05
H 0.5488 0.1280 0.1879  1 N 1.04
H 0.5488 0.8720 0.6879  1 N 1.04
H 0.6118 0.1222 0.4243  1 C 1.10
H 0.6118 0.8778 0.9243  1 C 1.10
H 0.6344 0.0586 0.5698  1 C 1.10
H 0.6344 0.9414 0.0698  1 C 1.10
H 0.6491 0.1283 0.3258  1 N 1.04
H 0.6491 0.8717 0.8258  1 N 1.04
H 0.7488 0.1127 0.1020  1 C 1.10
H 0.7488 0.8873 0.6020  1 C 1.10
H 0.7512 0.3873 0.6020  1 C 1.10
H 0.7512 0.6127 0.1020  1 C 1.10
H 0.8509 0.3717 0.8258  1 N 1.04
H 0.8509 0.6283 0.3258  1 N 1.04
H 0.8656 0.4414 0.0698  1 C 1.10
H 0.8656 0.5586 0.5698  1 C 1.10
H 0.8882 0.3778 0.9243  1 C 1.10
H 0.8882 0.6222 0.4243  1 C 1.10
H 0.9512 0.3720 0.6879  1 N 1.04
H 0.9512 0.6280 0.1879  1 N 1.04
H 0.9578 0.4492 0.3405  1 N 1.05
H 0.9578 0.5508 0.8405  1 N 1.05
H 0.9973 0.2014 0.8941  1 C 1.10
H 0.9973 0.7986 0.3941  1 C 1.10
C 0.0087 0.3435 0.6019  2 H 1.10
C 0.0087 0.6565 0.1019  2 H 1.10
C 0.1424 0.4181 0.9229  2 H 1.10
C 0.1424 0.5819 0.4229  2 H 1.10
C 0.3576 0.0819 0.4229  2 H 1.10
C 0.3576 0.9181 0.9229  2 H 1.10
C 0.4913 0.1565 0.1019  2 H 1.10
C 0.4913 0.8435 0.6019  2 H 1.10
C 0.5087 0.1565 0.3981  2 H 1.10
C 0.5087 0.8435 0.8981  2 H 1.10
C 0.6424 0.0819 0.0771  2 H 1.10
C 0.6424 0.9181 0.5771  2 H 1.10
C 0.8576 0.4181 0.5771  2 H 1.10
C 0.8576 0.5819 0.0771  2 H 1.10
C 0.9913 0.3435 0.8981  2 H 1.10
C 0.9913 0.6565 0.3981  2 H 1.10
Br 0.0691 0.1491 0.1409  2 H 2.36-2.50
Br 0.0691 0.8509 0.6409  2 H 2.36-2.50
Br 0.1726 0.3137 0.9979  1 C 1.96
Br 0.1726 0.6863 0.4979  1 C 1.96
Br 0.2284 0.1579 0.7727  1 H 2.42
Br 0.2284 0.8421 0.2727  1 H 2.42
Br 0.2716 0.3421 0.2727  1 H 2.42
Br 0.2716 0.6579 0.7727  1 H 2.42
Br 0.3274 0.1863 0.4979  1 C 1.96
Br 0.3274 0.8137 0.9979  1 C 1.96
Br 0.4309 0.3509 0.6409  2 H 2.36-2.50
Br 0.4309 0.6491 0.1409  2 H 2.36-2.50
Br 0.5691 0.3509 0.8591  2 H 2.36-2.50
Br 0.5691 0.6491 0.3591  2 H 2.36-2.50
Br 0.6726 0.1863 0.0021  1 C 1.96
Br 0.6726 0.8137 0.5021  1 C 1.96
Br 0.7284 0.3421 0.2273  1 H 2.42
Br 0.7284 0.6579 0.7273  1 H 2.42
Br 0.7716 0.1579 0.7273  1 H 2.42
Br 0.7716 0.8421 0.2273  1 H 2.42
Br 0.8274 0.3137 0.5021  1 C 1.96
Br 0.8274 0.6863 0.0021  1 C 1.96
Br 0.9309 0.1491 0.3591  2 H 2.36-2.50
Br 0.9309 0.8509 0.8591  2 H 2.36-2.50
N 0.0388 0.4148 0.6600  3 H 1.04-1.05
N 0.0388 0.5852 0.1600  3 H 1.04-1.05
N 0.4612 0.0852 0.1600  3 H 1.04-1.05
N 0.4612 0.9148 0.6600  3 H 1.04-1.05
N 0.5388 0.0852 0.3400  3 H 1.04-1.05
N 0.5388 0.9148 0.8400  3 H 1.04-1.05
N 0.9612 0.4148 0.8400  3 H 1.04-1.05
N 0.9612 0.5852 0.3400  3 H 1.04-1.05